First-principles (PBE) data for CeNpPdRh after structural relaxation, as listed in the Alexandria database.

Summary:
uncorrected energy: -8.310 eV per atom

Cell: 4.724 4.724 4.724 Å, 60.00 60.00 60.00°
Each line ends with the local moment (μB).
Element x y z (fractional)
Rh 0.750 0.750 0.750  -0.24
Ce 0.250 0.250 0.250  0.60
Np 0.500 0.500 0.500  3.44
Pd 0.000 0.000 0.000  -0.07